PaCl2O | PBE | optimized geometry Values from VASP.

```
&SYSTEM
  ibrav = 0, nat = 8, ntyp = 3
/
ATOMIC_SPECIES
Cl 35.45 Cl.upf
O 16.00 O.upf
Pa 231.04 Pa.upf
ATOMIC_POSITIONS crystal
Cl 0.8490 0.8490 0.4212
Cl 0.1510 0.1510 0.5788
Cl 0.1501 0.1501 0.0769
Cl 0.8499 0.8499 0.9231
O 0.5007 0.5007 0.2509
O 0.4993 0.4993 0.7491
Pa 0.9994 0.9994 0.7498
Pa 0.0006 0.0006 0.2502
CELL_PARAMETERS angstrom
-6.5641 -1.5570 -0.1984
-4.4486 -4.2094 -2.8357
3.5978 -3.8426 6.7504
```

## Properties
E (eV per cell): -52.88
Space group: C2/m
Crystal system: monoclinic